Compound: InHg4Sb
Source: Alexandria
Functional: GGA-PBE
Structure: relaxed

The structure in CIF format:
```
data_InHg4Sb
_cell_length_a 8.675
_cell_length_b 8.675
_cell_length_c 8.675
_cell_angle_alpha 90.00
_cell_angle_beta 90.00
_cell_angle_gamma 90.00
_symmetry_space_group_name_H-M 'F -4 3 m'
_symmetry_Int_Tables_number 216
_symmetry_space_group_name_Hall 'F -4 2 3'
loop_
_atom_site_label
_atom_site_type_symbol
_atom_site_fract_x
_atom_site_fract_y
_atom_site_fract_z
In1 In 0.000 0.000 0.000
Hg1 Hg 0.125 0.125 0.375
Sb1 Sb 0.250 0.250 0.750
```

Calculated values
- volume (Å³/atom) = 27.20
- density of states at the Fermi level (states/eV/cell) = 16.152
- energy relative to the elements, uncorrected (eV/atom) = 0.20
- total energy (Ha/atom) = -0.04211